1.
Below is an optimized crystal structure of Ba2PPtAu, with properties calculated at the PBE level.

Computed properties:
Its density is 6.9 Mg/m³. The total DFT energy (no corrections) comes out at -22.17 eV/cell. Its symmetry is P4/mmm. The calculation puts the formation enthalpy at 0 K at -0.7184 eV/atom.

Cell lengths 6.1928, 6.1928, 4.4053 Å; angles 90.00, 90.00, 90.00 degrees
With the nearest neighbours (Å) after each atom.
Fractional positions:
Au 0.5000 0.5000 0.5000  8 Ba 3.80
Pt 0.0000 0.0000 0.5000  2 P 2.20
P 0.0000 0.0000 0.0000  2 Pt 2.20
Ba 0.5000 0.0000 0.0000  2 P 3.10
Ba 0.0000 0.5000 0.0000  2 P 3.10



2.
Below is an optimized crystal structure of BaPRhAu, with properties calculated at the PBE level.

Computed properties:
Its density is 8.4 Mg/m³. The total DFT energy (no corrections) comes out at -42.37 eV/cell. Its symmetry is P4/nmm. The calculation puts the formation enthalpy at 0 K at -0.8054 eV/atom.

Cell lengths 3.9772, 3.9772, 11.7085 Å; angles 90.00, 90.00, 90.00 degrees
With the nearest neighbours (Å) after each atom.
Fractional positions:
P 0.2500 0.2500 0.1124  4 Rh 2.38
P 0.7500 0.7500 0.8876  4 Rh 2.38
Au 0.7500 0.2500 0.5000  4 Au 2.81
Au 0.2500 0.7500 0.5000  4 Au 2.81
Ba 0.2500 0.2500 0.7415  4 P 3.29, 4 Au 3.46, 4 Rh 3.62
Ba 0.7500 0.7500 0.2585  4 P 3.29, 4 Au 3.46, 4 Rh 3.62
Rh 0.7500 0.2500 0.0000  4 P 2.38
Rh 0.2500 0.7500 0.0000  4 P 2.38



3.
Below is an optimized crystal structure of Ba2PRhAu, with properties calculated at the PBE level.

Computed properties:
Its density is 6.1 Mg/m³. The total DFT energy (no corrections) comes out at -22.98 eV/cell. Its symmetry is P4/mmm. The calculation puts the formation enthalpy at 0 K at -0.6184 eV/atom.

Cell lengths 6.0850, 6.0850, 4.4366 Å; angles 90.00, 90.00, 90.00 degrees
With the nearest neighbours (Å) after each atom.
Fractional positions:
Ba 0.0000 0.5000 0.0000  2 Rh 3.04
Ba 0.5000 0.0000 0.0000  2 Rh 3.04
Rh 0.0000 0.0000 0.0000  2 P 2.22
Au 0.5000 0.5000 0.5000  8 Ba 3.77
P 0.0000 0.0000 0.5000  2 Rh 2.22



Which formula does entry 3 have? Ba2PRhAu



The highest total DFT energy (no corrections) belongs to which entry? Ba2PPtAu



Look up the formation enthalpy at 0 K of the third one. -0.6184 eV/atom